4
Lattice="0.000 3.636 3.636 3.636 0.000 3.636 3.636 3.636 0.000" Properties=species:S:1:pos:R:3 comment="HgTe2As (GGA-PBEsol, relaxed)" e_above_lowest_polymorph_kcal_per_mol_atoms=8.38 final_energy_ev_per_atom=-2.844 raw_formation_energy_ev_per_atom=0.34 pbc="T T T"
Hg 0.000 0.000 0.000
Te 3.636 3.636 3.636
Te 5.455 5.455 5.455
As 1.818 1.818 1.818

4
Lattice="3.024 0.000 0.000 0.000 4.170 0.000 -0.395 0.000 8.628" Properties=species:S:1:pos:R:3 comment="HgTe2As (GGA-PBEsol, relaxed)" e_above_lowest_polymorph_kcal_per_mol_atoms=1.36 final_energy_ev_per_atom=-3.148 raw_formation_energy_ev_per_atom=0.03 pbc="T T T"
Hg 0.000 0.000 0.000
Te -0.209 2.085 6.300
Te 2.838 2.085 2.328
As -0.197 0.000 4.314

4
Lattice="1.875 -2.541 0.000 1.875 2.541 0.000 0.000 0.000 9.791" Properties=species:S:1:pos:R:3 comment="Hg2TeAs (GGA-PBEsol, relaxed)" e_above_lowest_polymorph_kcal_per_mol_atoms=3.70 final_energy_ev_per_atom=-2.192 raw_formation_energy_ev_per_atom=0.25 pbc="T T T"
Hg 0.000 0.000 2.234
Hg 0.000 0.000 7.557
Te 1.875 0.000 4.896
As 1.875 0.000 0.000

4
Lattice="4.217 0.000 0.000 0.000 4.217 0.000 0.000 0.000 6.003" Properties=species:S:1:pos:R:3 comment="HgTe2As (GGA-PBEsol, relaxed)" e_above_lowest_polymorph_kcal_per_mol_atoms=0.50 final_energy_ev_per_atom=-3.185 raw_formation_energy_ev_per_atom=0.00 pbc="T T T"
Hg 0.000 0.000 0.000
Te 0.000 0.000 3.138
Te 2.108 2.108 0.397
As 2.108 2.108 3.038

3
Lattice="0.000 3.471 3.471 3.471 0.000 3.471 3.471 3.471 0.000" Properties=species:S:1:pos:R:3 comment="HgTeAs (GGA-PBEsol, relaxed)" final_energy_ev_per_atom=-2.629 raw_formation_energy_ev_per_atom=0.44 pbc="T T T"
Hg 0.000 0.000 0.000
Te 5.206 5.206 5.206
As 3.471 3.471 3.471

4
Lattice="2.104 1.215 6.875 -2.104 1.215 6.875 0.000 -2.430 6.875" Properties=species:S:1:pos:R:3 comment="HgTe2As (GGA-PBEsol, relaxed)" e_above_lowest_polymorph_kcal_per_mol_atoms=0.00 final_energy_ev_per_atom=-3.207 raw_formation_energy_ev_per_atom=-0.03 pbc="T T T"
Hg 0.000 0.000 0.000
Te 0.000 0.000 5.045
Te 0.000 0.000 15.581
As 0.000 0.000 10.313